Entry A
The following is a DFT calculation (PBE) of crystalline Nb2ReHOs at its relaxed geometry.

Values from the calculation:
* SG: P4/mmm (123)
* magnetization: 0.00 μB per cell
* V: 68.36 Å³ per cell

a b c (Å): 4.3943 4.3943 3.5401
angles (deg): 90.00 90.00 90.00
Fractional positions:
Nb (0.0000, 0.5000, 0.0000)
Nb (0.5000, 0.0000, 0.0000)
Re (0.0000, 0.0000, 0.5000)
H (0.5000, 0.5000, 0.0000)
Os (0.5000, 0.5000, 0.5000)


Entry B
The following is a DFT calculation (PBE) of crystalline Nb2ReHOs at its relaxed geometry.

Values from the calculation:
* SG: P4/mmm (123)
* magnetization: 0.00 μB per cell
* V: 68.33 Å³ per cell

a b c (Å): 4.3513 4.3513 3.6092
angles (deg): 90.00 90.00 90.00
Fractional positions:
Nb (0.0000, 0.5000, 0.0000)
Nb (0.5000, 0.0000, 0.0000)
Re (0.0000, 0.0000, 0.5000)
H (0.0000, 0.0000, 0.0000)
Os (0.5000, 0.5000, 0.5000)


Name the most stable of them. entry A.


Entry A
The following is a DFT calculation (PBE) of crystalline NbHOsRu2 at its relaxed geometry.

Values from the calculation:
* SG: P4/mmm (123)
* magnetization: 0.00 μB per cell
* V: 61.86 Å³ per cell

a b c (Å): 3.9180 3.9180 4.0300
angles (deg): 90.00 90.00 90.00
Fractional positions:
Nb (0.0000, 0.0000, 0.0000)
H (0.0000, 0.0000, 0.5000)
Os (0.5000, 0.5000, 0.0000)
Ru (0.0000, 0.5000, 0.5000)
Ru (0.5000, 0.0000, 0.5000)


Entry B
The following is a DFT calculation (PBE) of crystalline NbHOsRu2 at its relaxed geometry.

Values from the calculation:
* SG: P4/mmm (123)
* magnetization: 0.00 μB per cell
* V: 61.87 Å³ per cell

a b c (Å): 3.9609 3.9609 3.9438
angles (deg): 90.00 90.00 90.00
Fractional positions:
Nb (0.0000, 0.0000, 0.0000)
H (0.5000, 0.5000, 0.5000)
Os (0.5000, 0.5000, 0.0000)
Ru (0.0000, 0.5000, 0.5000)
Ru (0.5000, 0.0000, 0.5000)


Name the most stable of them. entry B.


Entry A
The following is a DFT calculation (PBE) of crystalline TaNbHOs2 at its relaxed geometry.

Values from the calculation:
* SG: P4/mmm (123)
* magnetization: 0.00 μB per cell
* V: 66.63 Å³ per cell

a b c (Å): 4.0555 4.0555 4.0510
angles (deg): 90.00 90.00 90.00
Fractional positions:
Ta (0.0000, 0.0000, 0.0000)
Nb (0.5000, 0.5000, 0.0000)
H (0.0000, 0.0000, 0.5000)
Os (0.0000, 0.5000, 0.5000)
Os (0.5000, 0.0000, 0.5000)


Entry B
The following is a DFT calculation (PBE) of crystalline TaNbHOs2 at its relaxed geometry.

Values from the calculation:
* SG: P4/mmm (123)
* magnetization: 0.00 μB per cell
* V: 66.59 Å³ per cell

a b c (Å): 4.0567 4.0567 4.0465
angles (deg): 90.00 90.00 90.00
Fractional positions:
Ta (0.0000, 0.0000, 0.0000)
Nb (0.5000, 0.5000, 0.0000)
H (0.5000, 0.5000, 0.5000)
Os (0.0000, 0.5000, 0.5000)
Os (0.5000, 0.0000, 0.5000)


Name the most stable of them. entry B.